(1)
CdRu, optimized geometry, DFT PBE; SG = Fddd, No. 70; ΔH_f (0 K) = 0.46 eV/atom; total DFT energy (no corrections) = -4.6312 eV per atom
1.0
-0.3236 7.8307 1.6918
-13.5868 -1.7413 5.4611
1.9087 -0.8860 4.4663
Ru Cd
16 16
direct
0.2500 0.3335 0.7500
0.5000 0.0835 0.5000
0.2500 0.8335 0.2500
0.7500 0.6665 0.7500
0.0000 0.9165 0.0000
0.7500 0.3335 0.2500
0.5000 0.5835 0.0000
0.2500 0.1665 0.7500
0.2500 0.6665 0.2500
0.0000 0.5835 0.5000
0.5000 0.9165 0.5000
0.7500 0.8335 0.7500
0.5000 0.4165 0.0000
0.0000 0.4165 0.5000
0.0000 0.0835 0.0000
0.7500 0.1665 0.2500
0.0828 0.7500 0.7500
0.1672 0.0000 0.5000
0.8328 0.0000 0.5000
0.9172 0.2500 0.7500
0.3328 0.5000 0.5000
0.9172 0.7500 0.2500
0.5828 0.2500 0.7500
0.8328 0.5000 0.0000
0.1672 0.5000 0.0000
0.0828 0.2500 0.2500
0.6672 0.0000 0.0000
0.6672 0.5000 0.5000
0.4172 0.2500 0.2500
0.4172 0.7500 0.7500
0.3328 0.0000 0.0000
0.5828 0.7500 0.2500

(2)
FeSbTe2W, optimized geometry, DFT PBE; formation energy (no corrections) = 1.32 eV/atom; SG = P4/mmm, No. 123; total DFT energy (no corrections) = -5.0481 eV per atom; excess energy over the best structure of this formula in the dataset = 164.1 meV per atom
1.0
4.9052 0.0000 0.0000
0.0000 4.9052 0.0000
0.0000 0.0000 4.7547
Te Sb W Fe
2 1 1 1
direct
0.0000 0.5000 0.0000
0.5000 0.0000 0.0000
0.0000 0.0000 0.5000
0.5000 0.5000 0.5000
0.0000 0.0000 0.0000

(3)
CeVSb2, optimized geometry, DFT PBE; formation energy (no corrections) = -0.24 eV/atom; SG = P4/mmm, No. 123; total DFT energy (no corrections) = -6.0627 eV per atom; excess energy over the best structure of this formula in the dataset = 0.0 meV per atom
1.0
3.4365 0.0000 0.0000
0.0000 3.4365 0.0000
0.0000 0.0000 7.6083
Sb V Ce
2 1 1
direct
0.0000 0.0000 0.7947
0.0000 0.0000 0.2053
0.5000 0.5000 0.0000
0.5000 0.5000 0.5000

(4)
TmCuPdPt, optimized geometry, DFT PBE; SG = F-43m, No. 216; ΔH_f (0 K) = -0.72 eV/atom; total DFT energy (no corrections) = -5.6697 eV per atom; excess energy over the best structure of this formula in the dataset = 99.3 meV per atom
1.0
-1.5482 -3.2495 2.8509
0.2677 -4.4241 -1.1996
2.9633 -2.7826 2.1354
Cu Pt Pd Tm
1 1 1 1
direct
0.5000 0.5000 0.5000
0.7500 0.7500 0.7500
0.2500 0.2500 0.2500
0.0000 0.0000 0.0000